The following is a DFT calculation (PBE-GGA) of a relaxed structure of Tb4Zn3In.

```
data_Tb4Zn3In
_cell_length_a 3.7028
_cell_length_b 4.5874
_cell_length_c 11.6251
_cell_angle_alpha 90.00
_cell_angle_beta 90.00
_cell_angle_gamma 90.00
_space_group_name_H-M_alt 'P m m 2'
_space_group_IT_number 25
loop_
_space_group_symop_operation_xyz
'x,y,z'
'-x,-y,z'
'-x,y,z'
'x,-y,z'
loop_
_atom_site_label
_atom_site_fract_x
_atom_site_fract_y
_atom_site_fract_z
Tb1 0.0000 0.0000 0.0000
Tb2 0.0000 0.5000 0.2924
Tb3 0.5000 0.0000 0.4799
Tb4 0.5000 0.5000 0.8063
Zn1 0.0000 0.5000 0.5660
Zn2 0.5000 0.0000 0.2126
Zn3 0.5000 0.5000 0.0759
In1 0.0000 0.0000 0.7115
```

**Mass density**: 7.96 g/cm3
**Offset from the most stable computed form**: 0.040 eV/atom
**Energy of formation**: -2.56 eV/f.u.